Entry 1:
Crystalline Li2AcDyPd5 at its relaxed geometry, computed with PBE.

CIF file:
```
data_Li2AcDyPd5
_chemical_formula_sum 'Li2 Ac1 Dy1 Pd5'
_cell_length_a 4.530
_cell_length_b 4.530
_cell_length_c 8.086
_cell_angle_alpha 90.00
_cell_angle_beta 90.00
_cell_angle_gamma 90.00
_space_group_name_H-M_alt 'P 4/m m m'
_space_group_IT_number 123
_space_group_name_Hall '-P 4 2'
loop_
_atom_site_label
_atom_site_fract_x
_atom_site_fract_y
_atom_site_fract_z
Li1 0.000 0.000 0.142
Ac1 0.500 0.500 0.500
Dy1 0.500 0.500 0.000
Pd1 0.000 0.000 0.500
Pd2 0.000 0.500 0.242
```

Properties
Formation enthalpy at 0 K in eV per atom: -0.619

Entry 2:
Crystalline LiAcDyPd at its relaxed geometry, computed with PBE.

CIF file:
```
data_LiAcDyPd
_chemical_formula_sum 'Li4 Ac4 Dy4 Pd4'
_cell_length_a 7.454
_cell_length_b 7.454
_cell_length_c 7.454
_cell_angle_alpha 90.00
_cell_angle_beta 90.00
_cell_angle_gamma 90.00
_space_group_name_H-M_alt 'F -4 3 m'
_space_group_IT_number 216
_space_group_name_Hall 'F -4 2 3'
loop_
_atom_site_label
_atom_site_fract_x
_atom_site_fract_y
_atom_site_fract_z
Li1 0.000 0.000 0.000
Ac1 0.250 0.250 0.250
Dy1 0.250 0.250 0.750
Pd1 0.000 0.000 0.500
```

Properties
Formation enthalpy at 0 K in eV per atom: -0.306

Entry 3:
Crystalline LiAcPmDy at its relaxed geometry, computed with PBE.

CIF file:
```
data_LiAcPmDy
_chemical_formula_sum 'Li4 Ac4 Pm4 Dy4'
_cell_length_a 8.128
_cell_length_b 8.128
_cell_length_c 8.128
_cell_angle_alpha 90.00
_cell_angle_beta 90.00
_cell_angle_gamma 90.00
_space_group_name_H-M_alt 'F -4 3 m'
_space_group_IT_number 216
_space_group_name_Hall 'F -4 2 3'
loop_
_atom_site_label
_atom_site_fract_x
_atom_site_fract_y
_atom_site_fract_z
Li1 0.000 0.000 0.000
Ac1 0.000 0.000 0.500
Pm1 0.250 0.250 0.750
Dy1 0.250 0.250 0.250
```

Properties
Formation enthalpy at 0 K in eV per atom: 0.246

Entry 4:
Crystalline LiAcPrDy at its relaxed geometry, computed with PBE.

CIF file:
```
data_LiAcPrDy
_chemical_formula_sum 'Li4 Ac4 Pr4 Dy4'
_cell_length_a 8.174
_cell_length_b 8.174
_cell_length_c 8.174
_cell_angle_alpha 90.00
_cell_angle_beta 90.00
_cell_angle_gamma 90.00
_space_group_name_H-M_alt 'F -4 3 m'
_space_group_IT_number 216
_space_group_name_Hall 'F -4 2 3'
loop_
_atom_site_label
_atom_site_fract_x
_atom_site_fract_y
_atom_site_fract_z
Li1 0.000 0.000 0.000
Ac1 0.000 0.000 0.500
Pr1 0.250 0.250 0.250
Dy1 0.250 0.250 0.750
```

Properties
Formation enthalpy at 0 K in eV per atom: 0.240

Entry 5:
Crystalline LiAcDyRh at its relaxed geometry, computed with PBE.

CIF file:
```
data_LiAcDyRh
_chemical_formula_sum 'Li4 Ac4 Dy4 Rh4'
_cell_length_a 7.313
_cell_length_b 7.313
_cell_length_c 7.313
_cell_angle_alpha 90.00
_cell_angle_beta 90.00
_cell_angle_gamma 90.00
_space_group_name_H-M_alt 'F -4 3 m'
_space_group_IT_number 216
_space_group_name_Hall 'F -4 2 3'
loop_
_atom_site_label
_atom_site_fract_x
_atom_site_fract_y
_atom_site_fract_z
Li1 0.000 0.000 0.000
Ac1 0.250 0.250 0.250
Dy1 0.250 0.250 0.750
Rh1 0.000 0.000 0.500
```

Properties
Formation enthalpy at 0 K in eV per atom: -0.320

Entry 6:
Crystalline LiAc2DyS5 at its relaxed geometry, computed with PBE.

CIF file:
```
data_LiAc2DyS5
_chemical_formula_sum 'Li4 Ac8 Dy4 S20'
_cell_length_a 4.141
_cell_length_b 17.002
_cell_length_c 12.254
_cell_angle_alpha 90.00
_cell_angle_beta 90.00
_cell_angle_gamma 90.00
_space_group_name_H-M_alt 'C m c 21'
_space_group_IT_number 36
loop_
_space_group_symop_operation_xyz
'x,y,z'
'-x,-y,z+1/2'
'-x,y,z'
'x,-y,z+1/2'
'x+1/2,y+1/2,z'
'-x+1/2,-y+1/2,z+1/2'
'-x+1/2,y+1/2,z'
'x+1/2,-y+1/2,z+1/2'
loop_
_atom_site_label
_atom_site_fract_x
_atom_site_fract_y
_atom_site_fract_z
Li1 0.000 0.019 0.000
Ac1 0.000 0.374 0.822
Ac2 0.000 0.391 0.207
Dy1 0.000 0.303 0.525
S1 0.000 0.000 0.305
S2 0.000 0.140 0.521
S3 0.000 0.193 0.875
S4 0.000 0.212 0.177
S5 0.000 0.452 0.583
```

Properties
ΔE_f (raw) in eV per atom: -2.02

Entry 7:
Crystalline LiAc3Dy3S8 at its relaxed geometry, computed with PBE.

CIF file:
```
data_LiAc3Dy3S8
_chemical_formula_sum 'Li3 Ac9 Dy9 S24'
_cell_length_a 8.0453
_cell_length_b 8.0453
_cell_length_c 20.4203
_cell_angle_alpha 90.00
_cell_angle_beta 90.00
_cell_angle_gamma 120.00
_space_group_name_H-M_alt 'R -3 m'
_space_group_IT_number 166
_space_group_name_Hall '-R 3 2"'
loop_
_atom_site_label
_atom_site_fract_x
_atom_site_fract_y
_atom_site_fract_z
Li1 0.0000 0.0000 0.0000
Ac1 0.0000 0.5000 0.5000
Dy1 0.0000 0.5000 0.0000
S1 0.0000 0.0000 0.2596
S2 0.0010 0.5005 0.2589
```

Properties
ΔE_f (raw) in eV per atom: -1.97

Entry 8:
Crystalline Li3AcDy2S6 at its relaxed geometry, computed with PBE.

CIF file:
```
data_Li3AcDy2S6
_chemical_formula_sum 'Li6 Ac2 Dy4 S12'
_cell_length_a 6.993
_cell_length_b 12.240
_cell_length_c 6.593
_cell_angle_alpha 90.00
_cell_angle_beta 109.27
_cell_angle_gamma 90.00
_space_group_name_H-M_alt 'C 1 2/m 1'
_space_group_IT_number 12
loop_
_space_group_symop_operation_xyz
'x,y,z'
'-x,-y,-z'
'-x,y,-z'
'x,-y,z'
'x+1/2,y+1/2,z'
'-x+1/2,-y+1/2,-z'
'-x+1/2,y+1/2,-z'
'x+1/2,-y+1/2,z'
loop_
_atom_site_label
_atom_site_fract_x
_atom_site_fract_y
_atom_site_fract_z
Li1 0.000 0.000 0.000
Li2 0.000 0.314 0.000
Ac1 0.000 0.500 0.500
Dy1 0.000 0.166 0.500
S1 0.224 0.000 0.754
S2 0.246 0.177 0.249
```

Properties
ΔE_f (raw) in eV per atom: -1.81

Entry 9:
Crystalline Li3Ac2DyS6 at its relaxed geometry, computed with PBE.

CIF file:
```
data_Li3Ac2DyS6
_chemical_formula_sum 'Li6 Ac4 Dy2 S12'
_cell_length_a 7.152
_cell_length_b 12.896
_cell_length_c 6.560
_cell_angle_alpha 90.00
_cell_angle_beta 108.00
_cell_angle_gamma 90.00
_space_group_name_H-M_alt 'C 1 2/m 1'
_space_group_IT_number 12
loop_
_space_group_symop_operation_xyz
'x,y,z'
'-x,-y,-z'
'-x,y,-z'
'x,-y,z'
'x+1/2,y+1/2,z'
'-x+1/2,-y+1/2,-z'
'-x+1/2,y+1/2,-z'
'x+1/2,-y+1/2,z'
loop_
_atom_site_label
_atom_site_fract_x
_atom_site_fract_y
_atom_site_fract_z
Li1 0.000 0.000 0.000
Li2 0.000 0.376 0.000
Ac1 0.000 0.170 0.500
Dy1 0.000 0.500 0.500
S1 0.225 0.347 0.754
S2 0.247 0.500 0.248
```

Properties
ΔE_f (raw) in eV per atom: -1.80

Entry 10:
Crystalline Li2AcDySb2 at its relaxed geometry, computed with PBE.

CIF file:
```
data_Li2AcDySb2
_chemical_formula_sum 'Li2 Ac1 Dy1 Sb2'
_cell_length_a 4.7533
_cell_length_b 4.7533
_cell_length_c 7.7683
_cell_angle_alpha 90.00
_cell_angle_beta 90.00
_cell_angle_gamma 120.00
_space_group_name_H-M_alt 'P -3 m 1'
_space_group_IT_number 164
_space_group_name_Hall '-P 3 2"'
loop_
_atom_site_label
_atom_site_fract_x
_atom_site_fract_y
_atom_site_fract_z
Li1 0.3333 0.6667 0.2040
Ac1 0.0000 0.0000 0.5000
Dy1 0.0000 0.0000 0.0000
Sb1 0.3333 0.6667 0.7760
```

Properties
ΔE_f (raw) in eV per atom: -0.85

Entry 11:
Crystalline LiAc4Dy3Se8 at its relaxed geometry, computed with PBE.

CIF file:
```
data_LiAc4Dy3Se8
_chemical_formula_sum 'Li3 Ac12 Dy9 Se24'
_cell_length_a 8.4548
_cell_length_b 8.4548
_cell_length_c 21.2562
_cell_angle_alpha 90.00
_cell_angle_beta 90.00
_cell_angle_gamma 120.00
_space_group_name_H-M_alt 'R -3 m'
_space_group_IT_number 166
_space_group_name_Hall '-R 3 2"'
loop_
_atom_site_label
_atom_site_fract_x
_atom_site_fract_y
_atom_site_fract_z
Li1 0.0000 0.0000 0.0000
Ac1 0.0000 0.0000 0.5000
Ac2 0.0000 0.5000 0.5000
Dy1 0.0000 0.5000 0.0000
Se1 0.0000 0.0000 0.2596
Se2 0.0046 0.5023 0.7392
```

Properties
ΔE_f (raw) in eV per atom: -1.77

Entry 12:
Crystalline LiAc3Dy2Se6 at its relaxed geometry, computed with PBE.

CIF file:
```
data_LiAc3Dy2Se6
_chemical_formula_sum 'Li2 Ac6 Dy4 Se12'
_cell_length_a 7.337
_cell_length_b 12.745
_cell_length_c 7.439
_cell_angle_alpha 90.00
_cell_angle_beta 109.29
_cell_angle_gamma 90.00
_space_group_name_H-M_alt 'C 1 2/m 1'
_space_group_IT_number 12
loop_
_space_group_symop_operation_xyz
'x,y,z'
'-x,-y,-z'
'-x,y,-z'
'x,-y,z'
'x+1/2,y+1/2,z'
'-x+1/2,-y+1/2,-z'
'-x+1/2,y+1/2,-z'
'x+1/2,-y+1/2,z'
loop_
_atom_site_label
_atom_site_fract_x
_atom_site_fract_y
_atom_site_fract_z
Li1 0.000 0.000 0.000
Ac1 0.000 0.167 0.500
Ac2 0.000 0.500 0.500
Dy1 0.000 0.334 0.000
Se1 0.237 0.164 0.219
Se2 0.246 0.500 0.217
```

Properties
ΔE_f (raw) in eV per atom: -1.77

Entry 13:
Crystalline Li2AcDySi2 at its relaxed geometry, computed with PBE.

CIF file:
```
data_Li2AcDySi2
_chemical_formula_sum 'Li2 Ac1 Dy1 Si2'
_cell_length_a 4.5021
_cell_length_b 4.5021
_cell_length_c 7.6583
_cell_angle_alpha 90.00
_cell_angle_beta 90.00
_cell_angle_gamma 120.00
_space_group_name_H-M_alt 'P -3 m 1'
_space_group_IT_number 164
_space_group_name_Hall '-P 3 2"'
loop_
_atom_site_label
_atom_site_fract_x
_atom_site_fract_y
_atom_site_fract_z
Li1 0.3333 0.6667 0.1889
Ac1 0.0000 0.0000 0.5000
Dy1 0.0000 0.0000 0.0000
Si1 0.3333 0.6667 0.7807
```

Properties
ΔE_f (raw) in eV per atom: -0.52

Entry 14:
Crystalline LiAcSmDy at its relaxed geometry, computed with PBE.

CIF file:
```
data_LiAcSmDy
_chemical_formula_sum 'Li4 Ac4 Sm4 Dy4'
_cell_length_a 8.113
_cell_length_b 8.113
_cell_length_c 8.113
_cell_angle_alpha 90.00
_cell_angle_beta 90.00
_cell_angle_gamma 90.00
_space_group_name_H-M_alt 'F -4 3 m'
_space_group_IT_number 216
_space_group_name_Hall 'F -4 2 3'
loop_
_atom_site_label
_atom_site_fract_x
_atom_site_fract_y
_atom_site_fract_z
Li1 0.000 0.000 0.000
Ac1 0.000 0.000 0.500
Sm1 0.250 0.250 0.750
Dy1 0.250 0.250 0.250
```

Properties
Formation enthalpy at 0 K in eV per atom: 0.249

Entry 15:
Crystalline Li2AcDy2Sn2 at its relaxed geometry, computed with PBE.

CIF file:
```
data_Li2AcDy2Sn2
_chemical_formula_sum 'Li6 Ac3 Dy6 Sn6'
_cell_length_a 4.8740
_cell_length_b 4.8740
_cell_length_c 27.9542
_cell_angle_alpha 90.00
_cell_angle_beta 90.00
_cell_angle_gamma 120.00
_space_group_name_H-M_alt 'R -3 m'
_space_group_IT_number 166
_space_group_name_Hall '-R 3 2"'
loop_
_atom_site_label
_atom_site_fract_x
_atom_site_fract_y
_atom_site_fract_z
Li1 0.0000 0.0000 0.0800
Ac1 0.0000 0.0000 0.5000
Dy1 0.0000 0.0000 0.3678
Sn1 0.0000 0.0000 0.2453
```

Properties
Formation enthalpy at 0 K in eV per atom: -0.467

Entry 16:
Crystalline Li2AcDySn2 at its relaxed geometry, computed with PBE.

CIF file:
```
data_Li2AcDySn2
_chemical_formula_sum 'Li2 Ac1 Dy1 Sn2'
_cell_length_a 4.7975
_cell_length_b 4.7975
_cell_length_c 7.9082
_cell_angle_alpha 90.00
_cell_angle_beta 90.00
_cell_angle_gamma 120.00
_space_group_name_H-M_alt 'P -3 m 1'
_space_group_IT_number 164
_space_group_name_Hall '-P 3 2"'
loop_
_atom_site_label
_atom_site_fract_x
_atom_site_fract_y
_atom_site_fract_z
Li1 0.3333 0.6667 0.1854
Ac1 0.0000 0.0000 0.5000
Dy1 0.0000 0.0000 0.0000
Sn1 0.3333 0.6667 0.7765
```

Properties
Formation enthalpy at 0 K in eV per atom: -0.651

Entry 17:
Crystalline LiAcTbDy at its relaxed geometry, computed with PBE.

CIF file:
```
data_LiAcTbDy
_chemical_formula_sum 'Li4 Ac4 Tb4 Dy4'
_cell_length_a 8.068
_cell_length_b 8.068
_cell_length_c 8.068
_cell_angle_alpha 90.00
_cell_angle_beta 90.00
_cell_angle_gamma 90.00
_space_group_name_H-M_alt 'F -4 3 m'
_space_group_IT_number 216
_space_group_name_Hall 'F -4 2 3'
loop_
_atom_site_label
_atom_site_fract_x
_atom_site_fract_y
_atom_site_fract_z
Li1 0.000 0.000 0.000
Ac1 0.000 0.000 0.500
Tb1 0.250 0.250 0.250
Dy1 0.250 0.250 0.750
```

Properties
Formation enthalpy at 0 K in eV per atom: 0.259

Entry 18:
Crystalline LiAcDyTc at its relaxed geometry, computed with PBE.

CIF file:
```
data_LiAcDyTc
_chemical_formula_sum 'Li4 Ac4 Dy4 Tc4'
_cell_length_a 7.259
_cell_length_b 7.259
_cell_length_c 7.259
_cell_angle_alpha 90.00
_cell_angle_beta 90.00
_cell_angle_gamma 90.00
_space_group_name_H-M_alt 'F -4 3 m'
_space_group_IT_number 216
_space_group_name_Hall 'F -4 2 3'
loop_
_atom_site_label
_atom_site_fract_x
_atom_site_fract_y
_atom_site_fract_z
Li1 0.000 0.000 0.000
Ac1 0.250 0.250 0.750
Dy1 0.250 0.250 0.250
Tc1 0.000 0.000 0.500
```

Properties
Formation enthalpy at 0 K in eV per atom: 0.093

Entry 19:
Crystalline LiAc2DyTe4 at its relaxed geometry, computed with PBE.

CIF file:
```
data_LiAc2DyTe4
_chemical_formula_sum 'Li1 Ac2 Dy1 Te4'
_cell_length_a 7.815
_cell_length_b 4.542
_cell_length_c 7.908
_cell_angle_alpha 90.00
_cell_angle_beta 109.48
_cell_angle_gamma 90.00
_space_group_name_H-M_alt 'P 1 2/m 1'
_space_group_IT_number 10
loop_
_space_group_symop_operation_xyz
'x,y,z'
'-x,-y,-z'
'-x,y,-z'
'x,-y,z'
loop_
_atom_site_label
_atom_site_fract_x
_atom_site_fract_y
_atom_site_fract_z
Li1 0.000 0.000 0.000
Ac1 0.500 0.000 0.500
Ac2 0.500 0.500 0.000
Dy1 0.000 0.500 0.500
Te1 0.220 0.500 0.237
Te2 0.221 0.000 0.745
```

Properties
ΔE_f (raw) in eV per atom: -1.38

Entry 20:
Crystalline LiAc2DyTe5 at its relaxed geometry, computed with PBE.

CIF file:
```
data_LiAc2DyTe5
_chemical_formula_sum 'Li4 Ac8 Dy4 Te20'
_cell_length_a 4.580
_cell_length_b 19.299
_cell_length_c 13.490
_cell_angle_alpha 90.00
_cell_angle_beta 90.00
_cell_angle_gamma 90.00
_space_group_name_H-M_alt 'C m c 21'
_space_group_IT_number 36
loop_
_space_group_symop_operation_xyz
'x,y,z'
'-x,-y,z+1/2'
'-x,y,z'
'x,-y,z+1/2'
'x+1/2,y+1/2,z'
'-x+1/2,-y+1/2,z+1/2'
'-x+1/2,y+1/2,z'
'x+1/2,-y+1/2,z+1/2'
loop_
_atom_site_label
_atom_site_fract_x
_atom_site_fract_y
_atom_site_fract_z
Li1 0.000 0.060 0.000
Ac1 0.000 0.374 0.843
Ac2 0.000 0.393 0.224
Dy1 0.000 0.303 0.548
Te1 0.000 0.001 0.320
Te2 0.000 0.142 0.538
Te3 0.000 0.191 0.890
Te4 0.000 0.215 0.202
Te5 0.000 0.451 0.602
```

Properties
ΔE_f (raw) in eV per atom: -1.45

The calculation returns the following raw total energy values, one per record and in order: -4.897; -4.261; -3.597; -3.611; -4.814; -5.950; -6.043; -5.465; -5.409; -4.312; -5.524; -5.465; -4.421; -3.587; -4.059; -4.075; -3.554; -5.154; -4.792; -4.831 eV/atom.
The calculation returns the following calculated volume values, one per record and in order: 18.43; 25.88; 33.56; 34.13; 24.45; 23.97; 25.44; 22.20; 23.98; 25.33; 27.42; 27.35; 22.41; 33.37; 27.39; 26.27; 32.82; 23.90; 33.08; 33.12 A^3/atom.